# Rb2ZrCd (PBE, optimized geometry)
data_Rb2ZrCd
_cell_length_a 12.6259
_cell_length_b 12.6259
_cell_length_c 5.8090
_cell_angle_alpha 90.00
_cell_angle_beta 90.00
_cell_angle_gamma 90.00
_space_group_name_H-M_alt 'I -4 2 d'
_space_group_IT_number 122
_space_group_name_Hall 'I -4 2bw'
loop_
_atom_site_label
_atom_site_fract_x
_atom_site_fract_y
_atom_site_fract_z
_atom_site_occupancy
Rb1 0.1226 0.7500 0.1250 1
Zr1 0.0000 0.0000 0.5000 1
Cd1 0.0000 0.0000 0.0000 1
# Total moment: 2.9 μB per formula unit
# ΔH_f (0 K): 0.92 eV per atom
# Density of states at the Fermi level: 1.31 states/eV/atom


# RbZr3Cd (PBE, optimized geometry)
data_RbZr3Cd
_cell_length_a 5.4723
_cell_length_b 5.4723
_cell_length_c 5.4723
_cell_angle_alpha 90.00
_cell_angle_beta 90.00
_cell_angle_gamma 90.00
_space_group_name_H-M_alt 'P m -3 m'
_space_group_IT_number 221
_space_group_name_Hall '-P 4 2 3'
loop_
_atom_site_label
_atom_site_fract_x
_atom_site_fract_y
_atom_site_fract_z
_atom_site_occupancy
Rb1 0.0000 0.0000 0.0000 1
Zr1 0.0000 0.5000 0.5000 1
Cd1 0.5000 0.5000 0.5000 1
# Total moment: 0.0 μB per formula unit
# E above lowest polymorph: 0 meV per atom
# ΔH_f (0 K): 1.28 eV per atom
# Density of states at the Fermi level: 1.70 states/eV/atom


# RbZrCd3 (PBE, optimized geometry)
data_RbZrCd3
_cell_length_a 5.8038
_cell_length_b 5.8038
_cell_length_c 5.8038
_cell_angle_alpha 90.00
_cell_angle_beta 90.00
_cell_angle_gamma 90.00
_space_group_name_H-M_alt 'P m -3 m'
_space_group_IT_number 221
_space_group_name_Hall '-P 4 2 3'
loop_
_atom_site_label
_atom_site_fract_x
_atom_site_fract_y
_atom_site_fract_z
_atom_site_occupancy
Rb1 0.0000 0.0000 0.0000 1
Zr1 0.5000 0.5000 0.5000 1
Cd1 0.0000 0.5000 0.5000 1
# Total moment: 1.8 μB per formula unit
# E above lowest polymorph: 0 meV per atom
# ΔH_f (0 K): 0.44 eV per atom
# Density of states at the Fermi level: 1.45 states/eV/atom


# RbZrCd3 (PBE, optimized geometry)
data_RbZrCd3
_cell_length_a 5.8787
_cell_length_b 5.8787
_cell_length_c 5.8787
_cell_angle_alpha 90.00
_cell_angle_beta 90.00
_cell_angle_gamma 90.00
_space_group_name_H-M_alt 'P m -3 m'
_space_group_IT_number 221
_space_group_name_Hall '-P 4 2 3'
loop_
_atom_site_label
_atom_site_fract_x
_atom_site_fract_y
_atom_site_fract_z
_atom_site_occupancy
Rb1 0.0000 0.0000 0.0000 1
Zr1 0.5000 0.5000 0.5000 1
Cd1 0.0000 0.0000 0.5000 1
# Total moment: 2.7 μB per formula unit
# E above lowest polymorph: 915 meV per atom
# ΔH_f (0 K): 1.36 eV per atom
# Density of states at the Fermi level: 1.27 states/eV/atom


# RbZr3Cd (PBE, optimized geometry)
data_RbZr3Cd
_cell_length_a 5.0672
_cell_length_b 5.0672
_cell_length_c 5.0672
_cell_angle_alpha 90.00
_cell_angle_beta 90.00
_cell_angle_gamma 90.00
_space_group_name_H-M_alt 'P m -3 m'
_space_group_IT_number 221
_space_group_name_Hall '-P 4 2 3'
loop_
_atom_site_label
_atom_site_fract_x
_atom_site_fract_y
_atom_site_fract_z
_atom_site_occupancy
Rb1 0.0000 0.0000 0.0000 1
Zr1 0.0000 0.0000 0.5000 1
Cd1 0.5000 0.5000 0.5000 1
# Total moment: 1.1 μB per formula unit
# E above lowest polymorph: 653 meV per atom
# ΔH_f (0 K): 1.94 eV per atom
# Density of states at the Fermi level: 1.70 states/eV/atom


# RbZrCd2 (PBE, optimized geometry)
data_RbZrCd2
_cell_length_a 8.6114
_cell_length_b 8.6114
_cell_length_c 7.3890
_cell_angle_alpha 90.00
_cell_angle_beta 90.00
_cell_angle_gamma 90.00
_space_group_name_H-M_alt 'I -4 2 d'
_space_group_IT_number 122
_space_group_name_Hall 'I -4 2bw'
loop_
_atom_site_label
_atom_site_fract_x
_atom_site_fract_y
_atom_site_fract_z
_atom_site_occupancy
Rb1 0.0000 0.0000 0.0000 1
Zr1 0.0000 0.0000 0.5000 1
Cd1 0.2005 0.2500 0.6250 1
# Total moment: 1.0 μB per formula unit
# E above lowest polymorph: 126 meV per atom
# ΔH_f (0 K): 0.67 eV per atom
# Density of states at the Fermi level: 0.80 states/eV/atom


# Rb2Zr2Cd (PBE, optimized geometry)
data_Rb2Zr2Cd
_cell_length_a 11.2014
_cell_length_b 11.2014
_cell_length_c 3.0231
_cell_angle_alpha 90.00
_cell_angle_beta 90.00
_cell_angle_gamma 90.00
_space_group_name_H-M_alt 'P 4/m b m'
_space_group_IT_number 127
_space_group_name_Hall '-P 4 2ab'
loop_
_atom_site_label
_atom_site_fract_x
_atom_site_fract_y
_atom_site_fract_z
_atom_site_occupancy
Rb1 0.1135 0.3865 0.0000 1
Zr1 0.1886 0.6886 0.5000 1
Cd1 0.0000 0.0000 0.0000 1
# Total moment: 1.8 μB per formula unit
# E above lowest polymorph: 912 meV per atom
# ΔH_f (0 K): 1.50 eV per atom
# Density of states at the Fermi level: 1.32 states/eV/atom


# Rb2Zr2Cd (PBE, optimized geometry)
data_Rb2Zr2Cd
_cell_length_a 4.0123
_cell_length_b 4.0123
_cell_length_c 25.3256
_cell_angle_alpha 90.00
_cell_angle_beta 90.00
_cell_angle_gamma 90.00
_space_group_name_H-M_alt 'I 4/m m m'
_space_group_IT_number 139
_space_group_name_Hall '-I 4 2'
loop_
_atom_site_label
_atom_site_fract_x
_atom_site_fract_y
_atom_site_fract_z
_atom_site_occupancy
Rb1 0.0000 0.0000 0.1088 1
Zr1 0.0000 0.5000 0.2500 1
Cd1 0.0000 0.0000 0.5000 1
# Total moment: 0.0 μB per formula unit
# E above lowest polymorph: 0 meV per atom
# ΔH_f (0 K): 0.58 eV per atom
# Density of states at the Fermi level: 0.61 states/eV/atom


# RbZrCd2 (PBE, optimized geometry)
data_RbZrCd2
_cell_length_a 7.7152
_cell_length_b 7.7152
_cell_length_c 7.7152
_cell_angle_alpha 90.00
_cell_angle_beta 90.00
_cell_angle_gamma 90.00
_space_group_name_H-M_alt 'F m -3 m'
_space_group_IT_number 225
_space_group_name_Hall '-F 4 2 3'
loop_
_atom_site_label
_atom_site_fract_x
_atom_site_fract_y
_atom_site_fract_z
_atom_site_occupancy
Rb1 0.0000 0.0000 0.0000 1
Zr1 0.0000 0.0000 0.5000 1
Cd1 0.2500 0.2500 0.2500 1
# Total moment: 0.0 μB per formula unit
# E above lowest polymorph: 0 meV per atom
# ΔH_f (0 K): 0.54 eV per atom
# Density of states at the Fermi level: 0.82 states/eV/atom


# RbZr2Cd (PBE, optimized geometry)
data_RbZr2Cd
_cell_length_a 4.6468
_cell_length_b 4.6468
_cell_length_c 23.4245
_cell_angle_alpha 90.00
_cell_angle_beta 90.00
_cell_angle_gamma 90.00
_space_group_name_H-M_alt 'I -4 2 d'
_space_group_IT_number 122
_space_group_name_Hall 'I -4 2bw'
loop_
_atom_site_label
_atom_site_fract_x
_atom_site_fract_y
_atom_site_fract_z
_atom_site_occupancy
Rb1 0.0000 0.0000 0.0000 1
Zr1 0.1390 0.2500 0.6250 1
Cd1 0.0000 0.0000 0.5000 1
# Total moment: 0.0 μB per formula unit
# ΔH_f (0 K): 0.95 eV per atom
# Density of states at the Fermi level: 0.85 states/eV/atom


# Cd3Re (PBE, optimized geometry)
data_Cd3Re
_cell_length_a 9.2205
_cell_length_b 7.5666
_cell_length_c 4.4507
_cell_angle_alpha 90.00
_cell_angle_beta 90.00
_cell_angle_gamma 90.00
_space_group_name_H-M_alt 'C m c m'
_space_group_IT_number 63
_space_group_name_Hall '-C 2c 2'
loop_
_atom_site_label
_atom_site_fract_x
_atom_site_fract_y
_atom_site_fract_z
_atom_site_occupancy
Cd1 0.0000 0.1561 0.2500 1
Cd2 0.2336 0.1295 0.7500 1
Re1 0.0000 0.4179 0.7500 1
# Total moment: 0.0 μB per formula unit
# E above lowest polymorph: 0 meV per atom
# ΔH_f (0 K): 0.39 eV per atom
# Density of states at the Fermi level: 0.47 states/eV/atom


# CdRe3 (PBE, optimized geometry)
data_CdRe3
_cell_length_a 2.8432
_cell_length_b 9.5299
_cell_length_c 4.8109
_cell_angle_alpha 90.00
_cell_angle_beta 90.00
_cell_angle_gamma 90.00
_space_group_name_H-M_alt 'I m m 2'
_space_group_IT_number 44
loop_
_space_group_symop_operation_xyz
'x,y,z'
'-x,-y,z'
'-x,y,z'
'x,-y,z'
'x+1/2,y+1/2,z+1/2'
'-x+1/2,-y+1/2,z+1/2'
'-x+1/2,y+1/2,z+1/2'
'x+1/2,-y+1/2,z+1/2'
loop_
_atom_site_label
_atom_site_fract_x
_atom_site_fract_y
_atom_site_fract_z
_atom_site_occupancy
Cd1 0.0000 0.0000 0.0000 1
Re1 0.0000 0.2268 0.5966 1
Re2 0.0000 0.5000 0.9942 1
# Total moment: 0.0 μB per formula unit
# E above lowest polymorph: 271 meV per atom
# ΔH_f (0 K): 0.54 eV per atom
# Density of states at the Fermi level: 0.79 states/eV/atom


# Cd2Re (PBE, optimized geometry)
data_Cd2Re
_cell_length_a 8.4020
_cell_length_b 8.4020
_cell_length_c 2.7504
_cell_angle_alpha 90.00
_cell_angle_beta 90.00
_cell_angle_gamma 120.00
_space_group_name_H-M_alt 'P -6 2 m'
_space_group_IT_number 189
_space_group_name_Hall 'P -6 -2'
loop_
_atom_site_label
_atom_site_fract_x
_atom_site_fract_y
_atom_site_fract_z
_atom_site_occupancy
Cd1 0.0000 0.3006 0.0000 1
Cd2 0.0000 0.6286 0.5000 1
Re1 0.0000 0.0000 0.5000 1
Re2 0.3333 0.6667 0.0000 1
# Total moment: 0.0 μB per formula unit
# E above lowest polymorph: 328 meV per atom
# ΔH_f (0 K): 0.75 eV per atom
# Density of states at the Fermi level: 0.83 states/eV/atom


# Cd3Re (PBE, optimized geometry)
data_Cd3Re
_cell_length_a 5.4172
_cell_length_b 5.4172
_cell_length_c 5.4172
_cell_angle_alpha 90.00
_cell_angle_beta 90.00
_cell_angle_gamma 90.00
_space_group_name_H-M_alt 'P m -3 n'
_space_group_IT_number 223
_space_group_name_Hall '-P 4n 2 3'
loop_
_atom_site_label
_atom_site_fract_x
_atom_site_fract_y
_atom_site_fract_z
_atom_site_occupancy
Cd1 0.0000 0.2500 0.5000 1
Re1 0.0000 0.0000 0.0000 1
# Total moment: 1.3 μB per formula unit
# E above lowest polymorph: 432 meV per atom
# ΔH_f (0 K): 0.82 eV per atom
# Density of states at the Fermi level: 0.51 states/eV/atom


# CdRe (PBE, optimized geometry)
data_CdRe
_cell_length_a 10.1526
_cell_length_b 10.1526
_cell_length_c 2.8531
_cell_angle_alpha 90.00
_cell_angle_beta 90.00
_cell_angle_gamma 90.00
_space_group_name_H-M_alt 'P 4/m'
_space_group_IT_number 83
loop_
_space_group_symop_operation_xyz
'x,y,z'
'-x,-y,-z'
'-y,x,z'
'y,-x,-z'
'-x,-y,z'
'x,y,-z'
'y,-x,z'
'-y,x,-z'
loop_
_atom_site_label
_atom_site_fract_x
_atom_site_fract_y
_atom_site_fract_z
_atom_site_occupancy
Cd1 0.0361 0.8048 0.0000 1
Cd2 0.2029 0.3067 0.5000 1
Re1 0.0949 0.5698 0.5000 1
Re2 0.3290 0.5305 0.0000 1
# Total moment: 0.0 μB per formula unit
# E above lowest polymorph: 310 meV per atom
# ΔH_f (0 K): 0.54 eV per atom
# Density of states at the Fermi level: 0.61 states/eV/atom


# CdRe3 (PBE, optimized geometry)
data_CdRe3
_cell_length_a 9.0602
_cell_length_b 9.0602
_cell_length_c 2.7084
_cell_angle_alpha 90.00
_cell_angle_beta 90.00
_cell_angle_gamma 120.00
_space_group_name_H-M_alt 'R -3 m'
_space_group_IT_number 166
_space_group_name_Hall '-R 3 2"'
loop_
_atom_site_label
_atom_site_fract_x
_atom_site_fract_y
_atom_site_fract_z
_atom_site_occupancy
Cd1 0.0000 0.0000 0.0000 1
Re1 0.0000 0.5000 0.0000 1
# Total moment: 0.0 μB per formula unit
# E above lowest polymorph: 429 meV per atom
# ΔH_f (0 K): 0.70 eV per atom
# Density of states at the Fermi level: 1.17 states/eV/atom


# CdRe3 (PBE, optimized geometry)
data_CdRe3
_cell_length_a 5.6679
_cell_length_b 5.6679
_cell_length_c 4.5636
_cell_angle_alpha 90.00
_cell_angle_beta 90.00
_cell_angle_gamma 120.00
_space_group_name_H-M_alt 'P 63/m m c'
_space_group_IT_number 194
_space_group_name_Hall '-P 6c 2c'
loop_
_atom_site_label
_atom_site_fract_x
_atom_site_fract_y
_atom_site_fract_z
_atom_site_occupancy
Cd1 0.3333 0.6667 0.2500 1
Re1 0.1617 0.3233 0.7500 1
# Total moment: 0.0 μB per formula unit
# E above lowest polymorph: 325 meV per atom
# ΔH_f (0 K): 0.60 eV per atom
# Density of states at the Fermi level: 1.16 states/eV/atom


# CdRe (PBE, optimized geometry)
data_CdRe
_cell_length_a 8.0338
_cell_length_b 8.0338
_cell_length_c 4.7402
_cell_angle_alpha 90.00
_cell_angle_beta 90.00
_cell_angle_gamma 90.00
_space_group_name_H-M_alt 'I 4/m m m'
_space_group_IT_number 139
_space_group_name_Hall '-I 4 2'
loop_
_atom_site_label
_atom_site_fract_x
_atom_site_fract_y
_atom_site_fract_z
_atom_site_occupancy
Cd1 0.0000 0.2846 0.0000 1
Re1 0.1535 0.1535 0.5000 1
# Total moment: 0.0 μB per formula unit
# E above lowest polymorph: 352 meV per atom
# ΔH_f (0 K): 0.58 eV per atom
# Density of states at the Fermi level: 0.51 states/eV/atom


# CdRe (PBE, optimized geometry)
data_CdRe
_cell_length_a 4.5734
_cell_length_b 4.5734
_cell_length_c 4.7933
_cell_angle_alpha 90.00
_cell_angle_beta 90.00
_cell_angle_gamma 120.00
_space_group_name_H-M_alt 'P 63/m m c'
_space_group_IT_number 194
_space_group_name_Hall '-P 6c 2c'
loop_
_atom_site_label
_atom_site_fract_x
_atom_site_fract_y
_atom_site_fract_z
_atom_site_occupancy
Cd1 0.3333 0.6667 0.2500 1
Re1 0.0000 0.0000 0.0000 1
# Total moment: 0.0 μB per formula unit
# E above lowest polymorph: 1044 meV per atom
# ΔH_f (0 K): 1.27 eV per atom
# Density of states at the Fermi level: 1.34 states/eV/atom


# Cd2Re (PBE, optimized geometry)
data_Cd2Re
_cell_length_a 6.5229
_cell_length_b 6.5229
_cell_length_c 6.5229
_cell_angle_alpha 90.00
_cell_angle_beta 90.00
_cell_angle_gamma 90.00
_space_group_name_H-M_alt 'F m -3 m'
_space_group_IT_number 225
_space_group_name_Hall '-F 4 2 3'
loop_
_atom_site_label
_atom_site_fract_x
_atom_site_fract_y
_atom_site_fract_z
_atom_site_occupancy
Cd1 0.2500 0.2500 0.2500 1
Re1 0.0000 0.0000 0.0000 1
# Total moment: 2.3 μB per formula unit
# E above lowest polymorph: 788 meV per atom
# ΔH_f (0 K): 1.21 eV per atom
# Density of states at the Fermi level: 0.37 states/eV/atom